Entry from OQMD via LeMat-Bulk: an optimized crystal structure of RbTaNO (PBE).

Cell and atoms, written as extended XYZ:
```
16
Lattice="6.065 0.000 0.000 0.000 6.139 0.000 0.000 0.000 8.462" Properties=species:S:1:pos:R:3 pbc="T T T"
N 3.225 2.962 6.593
N 3.225 6.032 1.869
N 0.193 3.177 1.869
N 0.193 0.108 6.593
Rb 3.188 5.851 7.345
Rb 3.188 2.781 1.116
Rb 0.155 3.358 7.345
Rb 0.155 0.288 1.116
Ta 2.963 2.447 4.890
Ta 5.996 0.623 4.890
Ta 2.963 5.517 3.572
Ta 5.996 3.692 3.572
O 0.949 2.425 4.825
O 0.949 5.494 3.636
O 3.981 0.645 4.825
O 3.981 3.714 3.636
```

Properties
M_tot in μB/atom: 0.000
Distance to the lowest polymorph of the same formula in eV per atom: 0.218
SG: Pca2_1

***

Entry from OQMD via LeMat-Bulk: an optimized crystal structure of BeNi2Pb (PBE).

Cell and atoms, written as extended XYZ:
```
4
Lattice="-3.568 -0.792 2.137 -3.703 1.453 -1.451 -2.859 -2.694 -1.579" Properties=species:S:1:pos:R:3 pbc="T T T"
Pb 0.000 0.000 0.000
Ni -5.065 -1.016 -0.446
Ni -7.598 -1.524 -0.670
Be -2.533 -0.508 -0.223
```

Properties
M_tot in μB/atom: 0.000
SG: F-43m

***

Entry from OQMD via LeMat-Bulk: an optimized crystal structure of GdHo2Ga3AgPt2 (PBE).

Cell and atoms, written as extended XYZ:
```
9
Lattice="3.732 0.000 0.000 0.000 6.515 3.751 0.000 -6.515 3.751" Properties=species:S:1:pos:R:3 pbc="T T T"
Gd 0.000 0.000 4.438
Ho 0.000 -3.854 5.281
Ho 0.000 3.854 5.281
Ag 0.000 0.000 0.011
Ga 1.866 -4.746 2.741
Ga 1.866 0.000 2.022
Ga 1.866 4.746 2.741
Pt 1.866 2.195 3.745
Pt 1.866 -2.195 3.745
```

Properties
M_tot in μB/atom: 0.000
SG: Amm2

***

Entry from OQMD via LeMat-Bulk: an optimized crystal structure of ThFeAg (PBE).

Cell and atoms, written as extended XYZ:
```
3
Lattice="3.656 -1.349 2.347 0.086 -4.133 1.899 2.727 -3.224 -1.692" Properties=species:S:1:pos:R:3 pbc="T T T"
Fe 0.000 0.000 0.000
Th 1.617 -2.177 0.638
Ag 4.852 -6.530 1.915
```

Properties
M_tot in μB/atom: 0.345
Distance to the lowest polymorph of the same formula in eV per atom: 0.000
SG: F-43m
ΔH_f (0 K) in eV/atom: 0.32

***

Entry from OQMD via LeMat-Bulk: an optimized crystal structure of DyGeAs (PBE).

Cell and atoms, written as extended XYZ:
```
3
Lattice="0.000 3.391 3.391 3.391 0.000 3.391 3.391 3.391 0.000" Properties=species:S:1:pos:R:3 pbc="T T T"
Dy 0.000 0.000 0.000
As 1.696 1.696 1.696
Ge 5.087 5.087 5.087
```

Properties
M_tot in μB/atom: 0.001
Distance to the lowest polymorph of the same formula in eV per atom: 0.110
SG: F-43m

***

Entry from OQMD via LeMat-Bulk: an optimized crystal structure of InCuP2S6 (PBE).

Cell and atoms, written as extended XYZ:
```
20
Lattice="6.129 0.000 -0.007 3.064 -5.308 -0.003 -2.086 0.000 -13.406" Properties=species:S:1:pos:R:3 pbc="T T T"
S 5.228 -0.178 -1.424
S 3.159 -0.048 -4.823
S 4.966 -3.448 -11.566
S 2.116 -5.260 -11.526
S 4.185 -5.130 -8.127
S 1.091 -3.689 -8.122
S 3.897 -1.734 -8.156
S 1.958 -1.878 -11.505
S 6.010 -1.860 -4.863
S 2.134 -1.619 -1.420
S 3.001 -3.430 -4.802
S 4.941 -3.574 -1.453
P 4.094 -1.788 -2.046
P 4.063 -1.781 -4.298
P 3.051 -3.520 -8.749
P 3.020 -3.527 -11.000
In 1.008 -0.023 -3.375
In 6.094 -5.285 -10.084
Cu 7.172 -3.561 -1.581
Cu 0.000 -1.747 -8.277
```

Properties
SG: Cc

***

Entry from OQMD via LeMat-Bulk: an optimized crystal structure of ZnAg2Au2 (PBE).

Cell and atoms, written as extended XYZ:
```
5
Lattice="-1.920 1.920 6.683 1.920 -1.920 6.683 1.920 1.920 -6.683" Properties=species:S:1:pos:R:3 pbc="T T T"
Au 0.000 0.000 7.985
Au 0.000 0.000 5.381
Zn 0.000 0.000 0.000
Ag 1.920 0.000 3.342
Ag 0.000 1.920 3.342
```

Properties
Distance to the lowest polymorph of the same formula in eV per atom: 0.000
SG: I4/mmm
ΔH_f (0 K) in eV/atom: 0.14

***

Entry from OQMD via LeMat-Bulk: an optimized crystal structure of USeS (PBE).

Cell and atoms, written as extended XYZ:
```
12
Lattice="7.263 0.000 0.000 0.000 3.629 0.000 0.000 0.000 9.103" Properties=species:S:1:pos:R:3 pbc="T T T"
Se 6.329 2.722 3.771
Se 4.566 0.907 8.322
Se 2.697 2.722 0.781
Se 0.935 0.907 5.332
S 0.904 0.907 8.154
S 4.536 0.907 5.500
S 2.728 2.722 3.602
S 6.360 2.722 0.949
U 0.886 0.907 2.240
U 2.745 2.722 6.792
U 6.377 2.722 6.862
U 4.518 0.907 2.311
```

Properties
M_tot in μB/atom: 0.605
Distance to the lowest polymorph of the same formula in eV per atom: 0.000
SG: Pnma

***

Number 1: VASP energy -7.606 eV/atom. Number 2: VASP energy -4.336 eV/atom. Number 3: VASP energy -5.094 eV/atom. Number 4: VASP energy -5.864 eV/atom. Number 5: VASP energy -4.895 eV/atom. Number 6: VASP energy -4.531 eV/atom. Number 7: VASP energy -2.550 eV/atom. Number 8: VASP energy -7.434 eV/atom.